(1)
Cs2MnInCl6 (GGA-PBE, optimized geometry); ΔE_f (raw) = -1443 meV per atom; ρ = 3.60 g/cm3; crystal system = cubic
1.0
-5.162 -5.445 0.266
4.980 -4.858 -2.821
3.138 -2.494 9.833
Cs Mn In Cl
4 2 2 12
Cartesian
1.938 -6.989 0.478
3.600 -3.087 6.671
3.506 -8.235 5.390
2.030 -1.839 1.750
5.305 -4.892 2.800
-1.337 -3.937 -0.572
0.233 -5.184 4.344
3.735 -3.644 -2.116
-0.593 -4.527 1.757
1.058 -5.840 6.932
4.562 -4.301 0.471
6.048 -5.483 5.129
5.262 -7.327 2.196
2.540 -10.199 2.336
2.908 -5.030 3.530
0.186 -7.902 3.670
-1.380 -6.372 -1.176
1.060 -3.798 -1.302
-1.294 -1.501 0.032
-3.734 -4.075 0.158



(2)
Cs2InMoCl6 (GGA-PBE, optimized geometry); ΔE_f (raw) = -1347 meV per atom; ρ = 3.44 g/cm3; crystal system = cubic
1.0
7.781 0.000 0.000
0.000 7.781 0.000
3.891 3.891 5.502
Cs Mo Cl In
2 1 6 1
Cartesian
7.781 3.891 2.751
3.891 7.781 2.751
3.891 3.891 0.000
3.891 3.891 2.471
7.781 7.781 3.030
2.144 2.144 0.000
5.638 5.638 0.000
5.638 2.144 0.000
2.144 5.638 0.000
0.000 0.000 0.000



(3)
CsNaInCl6 (GGA-PBE, optimized geometry); ΔE_f (raw) = -1251 meV per atom; ρ = 2.40 g/cm3; crystal system = monoclinic
1.0
-2.323 -6.401 -2.094
4.613 -5.096 -1.870
0.203 -2.461 7.251
Cs Na In Cl
1 1 1 6
Cartesian
0.203 -2.463 7.250
0.870 -5.088 2.295
1.626 -8.886 0.986
-0.446 -8.915 -0.490
3.741 -9.074 2.388
0.435 -7.819 2.963
0.902 -11.191 1.793
2.135 -6.524 0.191
2.997 -9.830 -0.940



(4)
Cs3NaIn2Cl9 (GGA-PBE, optimized geometry); ΔE_f (raw) = -1564 meV per atom; ρ = 3.42 g/cm3; crystal system = trigonal
1.0
7.621 0.000 0.000
-3.811 6.600 0.000
0.000 0.000 9.377
Cs Na In Cl
3 1 2 9
Cartesian
0.000 4.400 6.201
0.000 0.000 0.000
3.811 2.200 3.177
0.000 0.000 4.689
0.000 4.400 1.591
3.811 2.200 7.786
5.661 1.132 6.343
3.811 4.337 6.343
1.960 1.132 6.343
1.850 5.468 3.034
0.000 2.264 3.034
-1.850 5.468 3.034
3.811 0.000 0.000
-1.905 3.300 0.000
1.905 3.300 0.000



(5)
Cs2NaIn2Cl6 (GGA-PBE, optimized geometry); ΔE_f (raw) = -1410 meV per atom; ρ = 2.95 g/cm3; crystal system = monoclinic
1.0
-5.893 4.500 2.507
0.474 -7.319 2.034
6.025 5.534 4.230
Cs Na In Cl
2 1 2 6
Cartesian
-2.880 1.152 3.381
3.485 1.563 5.389
0.066 5.017 3.368
-0.247 2.217 7.659
0.853 0.498 1.111
-0.680 3.006 5.226
0.584 -4.316 3.268
2.844 4.875 4.302
0.021 7.031 5.502
-2.238 -2.160 4.469
1.286 -0.291 3.545



(6)
CsNa2InCl4 (GGA-PBE, optimized geometry); ΔE_f (raw) = -1496 meV per atom; ρ = 2.71 g/cm3; crystal system = orthorhombic
1.0
4.207 0.000 0.000
-2.104 7.808 0.000
0.000 0.000 16.218
Cs Na In Cl
2 4 2 8
Cartesian
0.000 3.098 12.164
2.104 4.711 4.055
0.000 5.783 8.309
2.104 2.026 0.200
2.104 2.026 7.909
0.000 5.783 16.019
2.104 6.438 12.164
0.000 1.371 4.055
0.000 3.513 1.567
2.104 4.295 9.676
2.104 4.295 14.651
0.000 3.513 6.542
0.000 0.000 8.109
0.000 0.000 0.000
2.104 0.509 12.164
0.000 7.299 4.055



(7)
CsNaIn2Cl4 (GGA-PBE, optimized geometry); ΔE_f (raw) = -1284 meV per atom; ρ = 3.19 g/cm3; crystal system = monoclinic
1.0
-2.699 -5.540 -6.853
6.635 -5.946 2.360
-6.064 2.775 6.266
Cs Na In Cl
2 2 4 8
Cartesian
3.317 -2.973 1.180
-2.414 -7.126 -2.540
-1.064 -4.355 0.887
-8.763 -2.765 -0.587
-1.350 -2.770 -3.426
-4.381 -1.383 -0.293
-3.032 1.388 3.133
1.968 -5.743 -2.247
4.585 -5.994 0.397
-3.048 -4.133 -1.131
0.919 -4.578 2.904
-6.713 -2.717 1.376
-3.035 -5.830 2.940
-0.036 -7.241 -0.161
-2.092 -1.470 1.934
0.907 -2.881 -1.167



(8)
CsNaInCl3 (GGA-PBE, optimized geometry); ΔE_f (raw) = -1494 meV per atom; ρ = 2.68 g/cm3; crystal system = monoclinic
1.0
4.561 0.000 0.000
0.000 9.760 1.155
0.000 -2.534 10.192
Cs Na In Cl
2 2 2 6
Cartesian
3.421 6.183 9.219
1.140 1.043 2.128
1.140 -0.298 6.220
3.421 7.524 5.127
1.140 5.797 2.309
3.421 1.428 9.037
1.140 6.865 6.436
3.421 8.110 2.501
3.421 3.648 1.622
3.421 0.361 4.911
1.140 3.578 9.725
1.140 -0.885 8.846